Record 1
The following is a PBE calculation of ScNbBiO6 after structural relaxation, from the Alexandria database.

Cell: 4.9347 4.9347 9.9181 Å, 90.00 90.00 90.00°
Closest atoms and distances in Å follow each position.
Fractional positions:
Sc  0.5000  0.5000  0.8337  6 O 2.12-2.14
Sc  0.0000  0.0000  0.3337  6 O 2.12-2.14
Nb  0.5000  0.5000  0.1710  6 O 1.98-2.07
Nb  0.0000  0.0000  0.6710  6 O 1.98-2.07
Bi  0.5000  0.5000  0.5042  6 O 2.23-2.32
Bi  0.0000  0.0000  0.0042  6 O 2.23-2.32
O  0.1801  0.8199  0.5055  1 Nb 2.07, 1 Sc 2.12, 1 Bi 2.23
O  0.8199  0.1801  0.5055  1 Nb 2.07, 1 Sc 2.12, 1 Bi 2.23
O  0.3199  0.3199  0.0055  1 Nb 2.07, 1 Sc 2.12, 1 Bi 2.23
O  0.6801  0.6801  0.0055  1 Nb 2.07, 1 Sc 2.12, 1 Bi 2.23
O  0.2080  0.7920  0.1749  1 Nb 2.04, 1 Sc 2.14, 1 Bi 2.23
O  0.7920  0.2080  0.1749  1 Nb 2.04, 1 Sc 2.14, 1 Bi 2.23
O  0.2920  0.2920  0.6749  1 Nb 2.04, 1 Sc 2.14, 1 Bi 2.23
O  0.7080  0.7080  0.6749  1 Nb 2.04, 1 Sc 2.14, 1 Bi 2.23
O  0.8034  0.1966  0.8151  1 Nb 1.98, 1 Sc 2.13
O  0.1966  0.8034  0.8151  1 Nb 1.98, 1 Sc 2.13
O  0.6966  0.6966  0.3151  1 Nb 1.98, 1 Sc 2.13
O  0.3034  0.3034  0.3151  1 Nb 1.98, 1 Sc 2.13

## Properties
The calculation puts the density of states at the Fermi level at 2.396 states/eV/f.u. The value obtained for the electronic total energy is -141.092 eV/cell. Its space-group type is P4_2nm (102). The calculation puts the raw formation energy at -2.2794 eV per atom.



Record 2
The following is a PBE calculation of ScNbBi2O8 after structural relaxation, from the Alexandria database.

Cell: 5.0159 5.0139 6.7231 Å, 90.00 90.00 90.15°
Closest atoms and distances in Å follow each position.
Fractional positions:
Sc  0.0000  0.0000  0.5000  6 O 2.10-2.19
Nb  0.0000  0.0000  0.0000  6 O 2.03-2.04
Bi  0.5000  0.5000  0.7490  6 O 2.21-2.28
Bi  0.5000  0.5000  0.2510  6 O 2.21-2.28
O  0.1797  0.8197  0.2348  1 Nb 2.03, 1 Sc 2.19
O  0.7122  0.7128  0.0000  1 Nb 2.04, 2 Bi 2.26
O  0.8203  0.1803  0.2348  1 Nb 2.03, 1 Sc 2.19
O  0.8203  0.1803  0.7652  1 Nb 2.03, 1 Sc 2.19
O  0.2878  0.2872  0.0000  1 Nb 2.04, 2 Bi 2.26
O  0.1797  0.8197  0.7652  1 Nb 2.03, 1 Sc 2.19
O  0.7028  0.7036  0.5000  1 Sc 2.10, 2 Bi 2.21
O  0.2972  0.2964  0.5000  1 Sc 2.10, 2 Bi 2.21

## Properties
The calculation puts the density of states at the Fermi level at 3.570 states/eV/f.u. The value obtained for the electronic total energy is -87.026 eV/cell. Its space-group type is Cmmm (65). The calculation puts the raw formation energy at -1.9331 eV per atom.



Record 3
The following is a PBE calculation of SmNbBi2O8 after structural relaxation, from the Alexandria database.

Cell: 5.1086 5.1079 6.9414 Å, 90.00 90.00 89.33°
Closest atoms and distances in Å follow each position.
Fractional positions:
Sm  0.0000  0.0000  0.5000  6 O 2.31-2.36
Nb  0.0000  0.0000  0.0000  6 O 2.01-2.08
Bi  0.5000  0.5000  0.7566  6 O 2.22-2.30
Bi  0.5000  0.5000  0.2434  6 O 2.22-2.30
O  0.1849  0.8153  0.2184  1 Nb 2.01
O  0.7144  0.7143  0.0000  1 Nb 2.08, 2 Bi 2.30
O  0.8151  0.1846  0.2184  1 Nb 2.01
O  0.8151  0.1847  0.7816  1 Nb 2.01
O  0.2856  0.2857  0.0000  1 Nb 2.08, 2 Bi 2.30
O  0.1849  0.8154  0.7816  1 Nb 2.01
O  0.6828  0.6822  0.5000  2 Bi 2.22, 1 Sm 2.31
O  0.3172  0.3178  0.5000  2 Bi 2.22, 1 Sm 2.31

## Properties
The calculation puts the density of states at the Fermi level at 3.283 states/eV/f.u. The value obtained for the electronic total energy is -85.530 eV/cell. Its space-group type is Cmmm (65). The calculation puts the raw formation energy at -1.9428 eV per atom.



Record 4
The following is a PBE calculation of SrNbBi2O after structural relaxation, from the Alexandria database.

Cell: 5.0915 4.5930 5.0915 Å, 90.00 90.00 90.00°
Closest atoms and distances in Å follow each position.
Fractional positions:
Sr  0.0000  0.5000  0.0000  2 O 2.30
Nb  0.5000  0.5000  0.5000  8 Bi 3.43, 4 Sr 3.60
Bi  0.0000  0.0000  0.5000  2 O 2.55
Bi  0.5000  0.0000  0.0000  2 O 2.55
O  0.0000  0.0000  0.0000  2 Sr 2.30, 4 Bi 2.55

## Properties
The calculation puts the density of states at the Fermi level at 4.084 states/eV/f.u. The value obtained for the electronic total energy is -25.472 eV/cell. Its space-group type is P4/mmm (123). The calculation puts the raw formation energy at -0.2000 eV per atom.



Among the records above, which one has the lowest electronic total energy?
ScNbBiO6



Which of these has the lowest electronic total energy?
ScNbBiO6



Among the records above, which one has the lowest electronic total energy?
ScNbBiO6



Please write out number 4 again, unchanged.
The following is a PBE calculation of SrNbBi2O after structural relaxation, from the Alexandria database.

Cell: 5.0915 4.5930 5.0915 Å, 90.00 90.00 90.00°
Closest atoms and distances in Å follow each position.
Fractional positions:
Sr  0.0000  0.5000  0.0000  2 O 2.30
Nb  0.5000  0.5000  0.5000  8 Bi 3.43, 4 Sr 3.60
Bi  0.0000  0.0000  0.5000  2 O 2.55
Bi  0.5000  0.0000  0.0000  2 O 2.55
O  0.0000  0.0000  0.0000  2 Sr 2.30, 4 Bi 2.55

## Properties
The calculation puts the density of states at the Fermi level at 4.084 states/eV/f.u. The value obtained for the electronic total energy is -25.472 eV/cell. Its space-group type is P4/mmm (123). The calculation puts the raw formation energy at -0.2000 eV per atom.